1.
LiCdRh2 | PBE | optimized geometry

Cell lengths 9.071, 2.808, 4.823 Å; angles 90.00, 100.46, 90.00 degrees
Space group C2/m (No. 12)
Asymmetric unit:
Li 0.000 0.000 0.000 [2 per cell]
Cd 0.000 0.500 0.500 [2 per cell]
Rh 0.247 0.500 0.233 [4 per cell]

Values from the calculation:
E_form ... -0.50 eV/f.u.
Density ... 8.9 g/cm3
Magnetic moment ... 0.0 μB per formula unit

=====

2.
Dy2BiS5 | PBE | optimized geometry

Cell lengths 5.338, 13.479, 13.214 Å; angles 90.00, 90.00, 90.00 degrees
Space group Cmcm (No. 63)
Asymmetric unit:
Dy 0.000 0.158 0.066 [8 per cell]
Bi 0.000 0.171 0.750 [4 per cell]
S 0.000 0.040 0.600 [8 per cell]
S 0.000 0.261 0.250 [4 per cell]
S 0.000 0.303 0.580 [8 per cell]

Values from the calculation:
Uncorrected energy ... -5.478 eV/atom
Density ... 4.9 g/cm3
Magnetic moment ... 0.0 μB per formula unit

=====

3.
PrThMgAg | PBE | optimized geometry

Cell lengths 7.633, 7.633, 7.633 Å; angles 90.00, 90.00, 90.00 degrees
Space group F-43m (No. 216)
Asymmetric unit:
Pr 0.000 0.000 0.000 [4 per cell]
Th 0.000 0.000 0.500 [4 per cell]
Mg 0.250 0.250 0.250 [4 per cell]
Ag 0.250 0.250 0.750 [4 per cell]

Values from the calculation:
E_form ... -0.01 eV/f.u.
Density ... 7.5 g/cm3
Magnetic moment ... 0.0 μB per formula unit

=====

4.
Gd2AsH | PBE | optimized geometry

Cell lengths 3.9740, 3.9740, 18.4361 Å; angles 90.00, 90.00, 120.00 degrees
Space group R-3m (No. 166, hexagonal axes)
Asymmetric unit:
Gd 0.0000 0.0000 0.2429 [6 per cell]
As 0.0000 0.0000 0.0000 [3 per cell]
H 0.0000 0.0000 0.5000 [3 per cell]

Values from the calculation:
Uncorrected energy ... -9.898 eV/atom
Density ... 7.7 g/cm3
Magnetic moment ... 14.3 μB per formula unit